[1]
Here is a relaxed CeSnRh2 crystal from the Alexandria database. Energies are from GGA-PBE.

Geometry as POSCAR:
```
CeSnRh2
1.0
4.7159 0.0000 0.0000
0.0000 4.7159 0.0000
0.0000 0.0000 3.4386
Ce Sn Rh
1 1 2
Direct
0.0000 0.0000 0.0000
0.5000 0.5000 0.0000
0.0000 0.5000 0.5000
0.5000 0.0000 0.5000
```

Values from the calculation:
E_form: -0.652 eV/atom


[2]
Here is a relaxed Tb2SmSn crystal from the Alexandria database. Energies are from GGA-PBE.

Geometry as POSCAR:
```
Tb2SmSn
1.0
2.7577 -6.4297 0.0000
2.7577 6.4297 0.0000
0.0000 0.0000 6.8494
Tb Sm Sn
4 2 2
Direct
0.1330 0.8670 0.5184
0.1330 0.8670 0.9816
0.8670 0.1330 0.0184
0.8670 0.1330 0.4816
0.4297 0.5703 0.7500
0.5703 0.4297 0.2500
0.3282 0.6718 0.2500
0.6718 0.3282 0.7500
```

Values from the calculation:
Polymorph energy (0 for the lowest one): 133 meV/atom
E_form: -0.299 eV/atom


[3]
Here is a relaxed Tb4NdSc7 crystal from the Alexandria database. Energies are from GGA-PBE.

Geometry as POSCAR:
```
Tb4NdSc7
1.0
5.7190 -2.7910 0.0000
5.7190 2.7910 0.0000
-5.5715 0.0000 10.8024
Tb Nd Sc
4 1 7
Direct
0.0857 0.0857 0.3055
0.3574 0.3574 0.2250
0.6426 0.6426 0.7750
0.9143 0.9143 0.6945
0.5000 0.5000 0.0000
0.0000 0.0000 0.0000
0.1725 0.1725 0.6304
0.2092 0.2092 0.9187
0.3733 0.3733 0.5139
0.6267 0.6267 0.4861
0.7908 0.7908 0.0813
0.8275 0.8275 0.3696
```

Values from the calculation:
E_form: 0.264 eV/atom


[4]
Here is a relaxed Cs3TcO crystal from the Alexandria database. Energies are from GGA-PBE.

Geometry as POSCAR:
```
Cs3TcO
1.0
5.9799 0.0000 0.0000
0.0000 5.9799 0.0000
0.0000 0.0000 5.9799
Cs Tc O
3 1 1
Direct
0.0000 0.0000 0.5000
0.0000 0.5000 0.0000
0.5000 0.0000 0.0000
0.5000 0.5000 0.5000
0.0000 0.0000 0.0000
```

Values from the calculation:
Formation energy (no corrections): 2.24 eV/f.u.
Polymorph energy (0 for the lowest one): 0 meV/atom


[5]
Here is a relaxed MgB2Se crystal from the Alexandria database. Energies are from GGA-PBE.

Geometry as POSCAR:
```
MgB2Se
1.0
-2.7188 2.7188 4.4091
2.7188 -2.7188 4.4091
2.7188 2.7188 -4.4091
Mg B Se
2 4 2
Direct
0.0000 0.0000 0.0000
0.7500 0.2500 0.5000
0.1691 0.6250 0.0441
0.3750 0.4191 0.5441
0.5809 0.1250 0.9559
0.8750 0.8309 0.4559
0.2500 0.7500 0.5000
0.5000 0.5000 0.0000
```

Values from the calculation:
Formation energy (no corrections): 3.61 eV/f.u.
Polymorph energy (0 for the lowest one): 0 meV/atom


[6]
Here is a relaxed TaSb2Ru crystal from the Alexandria database. Energies are from GGA-PBE.

Geometry as POSCAR:
```
TaSb2Ru
1.0
3.1834 0.0000 0.0000
0.0000 4.0896 0.0000
-0.7594 0.0000 6.0576
Ta Sb Ru
1 2 1
Direct
0.0000 0.0000 0.0000
0.3619 0.5000 0.7484
0.6381 0.5000 0.2516
0.5000 0.0000 0.5000
```

Values from the calculation:
Formation energy (no corrections): 1.48 eV/f.u.
Polymorph energy (0 for the lowest one): 447 meV/atom


[7]
Here is a relaxed HfTi3Fe crystal from the Alexandria database. Energies are from GGA-PBE.

Geometry as POSCAR:
```
HfTi3Fe
1.0
4.5086 0.0000 0.0000
0.0000 4.5086 0.0000
0.0000 0.0000 4.5086
Hf Ti Fe
1 3 1
Direct
0.0000 0.0000 0.0000
0.0000 0.5000 0.5000
0.5000 0.0000 0.5000
0.5000 0.5000 0.0000
0.5000 0.5000 0.5000
```

Values from the calculation:
Polymorph energy (0 for the lowest one): 269 meV/atom
E_form: 0.230 eV/atom


[8]
Here is a relaxed KBa2Cl crystal from the Alexandria database. Energies are from GGA-PBE.

Geometry as POSCAR:
```
KBa2Cl
1.0
4.1382 -5.7290 0.0000
4.1382 5.7290 0.0000
0.0000 0.0000 4.3280
K Ba Cl
1 2 1
Direct
0.0000 0.0000 0.0000
0.0000 0.5000 0.5000
0.5000 0.0000 0.5000
0.5000 0.5000 0.0000
```

Values from the calculation:
Formation energy (no corrections): -1.82 eV/f.u.
Polymorph energy (0 for the lowest one): 374 meV/atom


[9]
Here is a relaxed K3In2Sn2Sb4 crystal from the Alexandria database. Energies are from GGA-PBE.

Geometry as POSCAR:
```
K3In2Sn2Sb4
1.0
5.2489 0.0000 0.0000
-2.6245 4.5457 0.0000
0.0000 0.0000 17.1371
K In Sn Sb
3 2 2 4
Direct
0.0000 0.0000 0.0000
0.0000 0.0000 0.2788
0.0000 0.0000 0.7212
0.3333 0.6667 0.1433
0.6667 0.3333 0.8567
0.3333 0.6667 0.5684
0.6667 0.3333 0.4316
0.3333 0.6667 0.3966
0.3333 0.6667 0.8596
0.6667 0.3333 0.1404
0.6667 0.3333 0.6034
```

Values from the calculation:
Formation energy (no corrections): -2.16 eV/f.u.


[10]
Here is a relaxed CaCuTc2 crystal from the Alexandria database. Energies are from GGA-PBE.

Geometry as POSCAR:
```
CaCuTc2
1.0
2.6714 -4.8392 0.0000
2.6714 4.8392 0.0000
-0.8852 0.0000 2.5212
Ca Cu Tc
1 1 2
Direct
0.0000 0.0000 0.0000
0.5000 0.5000 0.0000
0.0000 0.5000 0.5000
0.5000 0.0000 0.5000
```

Values from the calculation:
Polymorph energy (0 for the lowest one): 336 meV/atom
E_form: 0.539 eV/atom